Here is a geometry-optimized KSeI structure from Alexandria via LeMat-Bulk. Energies are from PBE.

Results
Total magnetization   0.000 μB/f.u.
Formation energy from raw total energies   -0.81 eV per atom
Symmetry   C2/m, No. 12
N(E_F)   0.4579 states/eV/atom

Unit cell a=4.4127 b=5.5572 c=11.0385 alpha=75.46 beta=78.48 gamma=90.00
Atoms (fractional coordinates):
K1 0.7843 0.6388 0.7046
K2 0.6350 0.9894 0.0040
I1 0.2882 0.1426 0.6969
I2 0.1312 0.4856 0.0116
Se1 0.4355 0.7898 0.4027
Se2 0.9838 0.8383 0.3059